Record 1
## ZnAsIr (SCAN)

Data for a PBEsol-optimized structure of ZnAsIr.

Calculated values
final energy = -104.80 eV for the cell shown
density of states at the Fermi level = 0.52 states/eV/atom

a b c (Å): 3.027 3.614 4.671
angles (deg): 112.76 108.90 90.00
Fractional positions:
As: 0.012 0.012 0.024
Zn: 0.329 0.329 0.659
Ir: 0.659 0.659 0.318


Record 2
## Zn2AsIr (SCAN)

Data for a PBEsol-optimized structure of Zn2AsIr.

Calculated values
final energy = -117.88 eV for the cell shown
density of states at the Fermi level = 0.31 states/eV/atom

a b c (Å): 4.351 4.351 4.351
angles (deg): 60.00 60.00 60.00
Fractional positions:
Zn: 0.000 0.000 0.000
Zn: 0.750 0.750 0.750
Ir: 0.250 0.250 0.250
As: 0.500 0.500 0.500


Record 3
## Zr2AsIr (SCAN)

Data for a PBEsol-optimized structure of Zr2AsIr.

Calculated values
final energy = -156.32 eV for the cell shown
density of states at the Fermi level = 0.59 states/eV/atom

a b c (Å): 3.787 3.787 5.499
angles (deg): 90.00 90.00 90.00
Fractional positions:
Zr: 0.000 0.000 0.878
Zr: 0.500 0.500 0.370
Ir: 0.500 0.500 0.874
As: 0.000 0.000 0.378


Record 4
## Zr2AsIr (SCAN)

Data for a PBEsol-optimized structure of Zr2AsIr.

Calculated values
final energy = -157.10 eV for the cell shown
density of states at the Fermi level = 0.63 states/eV/atom

a b c (Å): 3.650 4.005 5.349
angles (deg): 90.00 109.95 90.00
Fractional positions:
Zr: 0.981 0.500 0.961
Zr: 0.265 0.000 0.529
As: 0.540 0.000 0.081
Ir: 0.714 0.500 0.429


Record 5
## ZrAsIr2 (SCAN)

Data for a PBEsol-optimized structure of ZrAsIr2.

Calculated values
final energy = -193.91 eV for the cell shown
density of states at the Fermi level = 1.23 states/eV/atom

a b c (Å): 4.496 4.496 4.496
angles (deg): 60.00 60.00 60.00
Fractional positions:
Ir: 0.750 0.750 0.750
Ir: 0.000 0.000 0.000
Zr: 0.250 0.250 0.250
As: 0.500 0.500 0.500


Record 6
## K5As3 (SCAN)

Data for a PBEsol-optimized structure of K5As3.

Calculated values
final energy = -104.08 eV for the cell shown
density of states at the Fermi level = 0.06 states/eV/atom

a b c (Å): 4.671 7.022 7.022
angles (deg): 93.43 90.00 90.00
Fractional positions:
K: 0.000 0.500 0.000
K: 0.500 0.281 0.719
K: 0.000 0.000 0.500
K: 0.000 0.000 0.000
K: 0.500 0.719 0.281
As: 0.500 0.263 0.263
As: 0.500 0.737 0.737
As: 0.000 0.500 0.500


Record 7
## K2As3 (SCAN)

Data for a PBEsol-optimized structure of K2As3.

Calculated values
final energy = -77.93 eV for the cell shown
density of states at the Fermi level = 0.44 states/eV/atom

a b c (Å): 3.836 3.836 11.446
angles (deg): 90.00 90.00 120.00
Fractional positions:
K: 0.333 0.667 0.791
K: 0.667 0.333 0.209
As: 0.000 0.000 0.000
As: 0.667 0.333 0.552
As: 0.333 0.667 0.448


Record 8
## K3As11 (SCAN)

Data for a PBEsol-optimized structure of K3As11.

Calculated values
final energy = -1007.32 eV for the cell shown

a b c (Å): 10.581 10.964 14.524
angles (deg): 90.00 90.00 90.00
Fractional positions:
As: 0.673 0.084 0.108
As: 0.273 0.690 0.246
As: 0.485 0.967 0.138
As: 0.444 0.113 0.717
As: 0.056 0.887 0.717
As: 0.985 0.533 0.362
As: 0.327 0.916 0.892
As: 0.727 0.190 0.254
As: 0.227 0.190 0.746
As: 0.250 0.500 0.024
As: 0.827 0.916 0.108
As: 0.556 0.887 0.283
As: 0.098 0.423 0.133
As: 0.773 0.690 0.754
As: 0.985 0.967 0.862
As: 0.273 0.810 0.746
As: 0.015 0.033 0.138
As: 0.598 0.077 0.367
As: 0.056 0.613 0.217
As: 0.598 0.423 0.867
As: 0.250 0.000 0.524
As: 0.556 0.613 0.783
As: 0.444 0.387 0.217
As: 0.902 0.577 0.867
As: 0.515 0.467 0.362
As: 0.227 0.310 0.246
As: 0.827 0.584 0.608
As: 0.402 0.577 0.133
As: 0.327 0.584 0.392
As: 0.944 0.387 0.783
As: 0.515 0.033 0.862
As: 0.727 0.310 0.754
As: 0.015 0.467 0.638
As: 0.902 0.923 0.367
As: 0.402 0.923 0.633
As: 0.944 0.113 0.283
As: 0.773 0.810 0.254
As: 0.098 0.077 0.633
As: 0.173 0.084 0.892
As: 0.173 0.416 0.392
As: 0.673 0.416 0.608
As: 0.750 0.000 0.476
As: 0.750 0.500 0.976
As: 0.485 0.533 0.638
K: 0.750 0.500 0.206
K: 0.593 0.766 0.984
K: 0.907 0.266 0.484
K: 0.250 0.500 0.794
K: 0.907 0.234 0.984
K: 0.407 0.234 0.016
K: 0.407 0.266 0.516
K: 0.093 0.766 0.016
K: 0.250 0.000 0.294
K: 0.750 0.000 0.706
K: 0.593 0.734 0.484
K: 0.093 0.734 0.516